Compound: NaZnRh2
Source: Alexandria
Functional: GGA-PBE
Structure: relaxed

```
NaZnRh2
1.0
-3.685 3.685 2.554
3.685 -3.685 2.554
3.685 3.685 -2.554
Na Zn Rh
2 2 4
Direct
0.000 0.000 0.000
0.750 0.250 0.500
0.250 0.750 0.500
0.500 0.500 0.000
0.172 0.625 0.047
0.375 0.422 0.547
0.578 0.125 0.953
0.875 0.828 0.453
```

- theoretical density (Mg/m³) = 7.04
- VASP energy (eV per atom) = -3.94
- space group = I-42d (122)
- formation energy (eV per atom) = 0.385

***

Compound: CdSb2
Source: Alexandria
Functional: GGA-PBE
Structure: relaxed

```
CdSb2
1.0
4.947 0.000 0.000
0.000 7.925 0.000
0.000 0.000 4.708
Cd Sb
2 4
Direct
0.000 0.000 0.000
0.500 0.500 0.500
0.211 0.377 0.000
0.289 0.877 0.500
0.711 0.123 0.500
0.789 0.623 0.000
```

- theoretical density (Mg/m³) = 6.40
- VASP energy (eV per atom) = -2.93
- space group = Pnnm (58)
- raw formation energy (eV per atom) = 0.12

***

Compound: Pr4NdSc3
Source: Alexandria
Functional: GGA-PBE
Structure: relaxed

```
Pr4NdSc3
1.0
13.761 -1.742 0.000
13.761 1.742 0.000
-0.390 0.000 5.746
Pr Nd Sc
4 1 3
Direct
0.101 0.101 0.033
0.189 0.189 0.562
0.811 0.811 0.438
0.899 0.899 0.967
0.000 0.000 0.500
0.294 0.294 0.928
0.500 0.500 0.000
0.706 0.706 0.072
```

- theoretical density (Mg/m³) = 5.08
- VASP energy (eV per atom) = -5.09
- space group = C2/m (12)
- formation energy (eV per atom) = 0.274

***

What did the first record say?
Compound: NaZnRh2
Source: Alexandria
Functional: GGA-PBE
Structure: relaxed

```
NaZnRh2
1.0
-3.685 3.685 2.554
3.685 -3.685 2.554
3.685 3.685 -2.554
Na Zn Rh
2 2 4
Direct
0.000 0.000 0.000
0.750 0.250 0.500
0.250 0.750 0.500
0.500 0.500 0.000
0.172 0.625 0.047
0.375 0.422 0.547
0.578 0.125 0.953
0.875 0.828 0.453
```

- theoretical density (Mg/m³) = 7.04
- VASP energy (eV per atom) = -3.94
- space group = I-42d (122)
- formation energy (eV per atom) = 0.385